# 1
A relaxed structure of Dy4Sn2C, computed with PBE.

## Properties
* space group: No. 139

Lattice parameters (Å, degrees): 8.667 8.667 8.667 147.86 147.86 46.09
Fractional coordinates of all 7 atoms:
Dy (0.000, 0.500, 0.500)
Dy (0.159, 0.159, 0.000)
Dy (0.500, 0.000, 0.500)
Dy (0.841, 0.841, 0.000)
Sn (0.360, 0.360, 0.000)
Sn (0.640, 0.640, 0.000)
C (0.000, 0.000, 0.000)

***

# 2
A relaxed structure of Pm8PrHo2, computed with PBE.

## Properties
* space group: No. 12

Lattice parameters (Å, degrees): 9.093 9.093 6.736 98.96 98.96 43.78
Fractional coordinates of all 11 atoms:
Pm (0.092, 0.092, 0.912)
Pm (0.147, 0.674, 0.589)
Pm (0.256, 0.256, 0.687)
Pm (0.326, 0.853, 0.411)
Pm (0.674, 0.147, 0.589)
Pm (0.744, 0.744, 0.313)
Pm (0.853, 0.326, 0.411)
Pm (0.908, 0.908, 0.088)
Pr (0.500, 0.500, 0.000)
Ho (0.297, 0.297, 0.197)
Ho (0.703, 0.703, 0.803)

***

no.,ΔH_f (0 K) (meV per atom),ΔE to the lowest computed polymorph (meV per atom),E_tot (eV for the cell shown)
1,-660.4,0,-40.3
2,165.2,22,-50.1